# 1
An optimized crystal structure of ZrHg2Sb, computed with PBE-GGA.

Lattice parameters (Å, degrees): 12.218 3.282 5.188 90.00 115.00 90.00
Space group C2/m (No. 12)
Inequivalent atoms, fractional coordinates:
Zr  0.000  0.000  0.000 x2
Hg  0.239  0.500  0.239 x4
Sb  0.000  0.500  0.500 x2

Results
**Formation energy without anion corrections**: -0.0944 eV per atom

---

# 2
An optimized crystal structure of Ni3Ir8, computed with PBE-GGA.

Lattice parameters (Å, degrees): 8.498 3.771 9.688 90.00 104.69 90.00
Space group C2/m (No. 12)
Inequivalent atoms, fractional coordinates:
Ni  0.000  0.000  0.000 x2
Ni  0.089  0.000  0.636 x4
Ir  0.046  0.500  0.819 x4
Ir  0.137  0.500  0.458 x4
Ir  0.181  0.000  0.274 x4
Ir  0.227  0.500  0.093 x4

Results
**ΔE_f**: 0.005 eV per atom

---

# 3
An optimized crystal structure of Pm4YGe5, computed with PBE-GGA.

Lattice parameters (Å, degrees): 9.489 9.489 5.989 90.00 90.00 90.00
Space group I4/m (No. 87)
Inequivalent atoms, fractional coordinates:
Pm  0.099  0.700  0.000 x8
Y  0.000  0.000  0.500 x2
Ge  0.000  0.000  0.000 x2
Ge  0.100  0.703  0.500 x8

Results
**ΔE_f**: -0.668 eV per atom

---

# 4
An optimized crystal structure of TlCrAuN2, computed with PBE-GGA.

Lattice parameters (Å, degrees): 3.981 3.981 5.824 90.00 90.00 90.00
Space group P4/mmm (No. 123)
Inequivalent atoms, fractional coordinates:
Tl  0.000  0.000  0.000 x1
Cr  0.500  0.500  0.000 x1
Au  0.000  0.000  0.500 x1
N  0.000  0.500  0.500 x2

Results
**Formation energy without anion corrections**: 2.3423 eV per atom